1.
Below is a relaxed structure of Hg2MoCl, with properties calculated at the PBE level.

Cell: 3.2271 4.4163 5.8593 Å, 90.00 105.85 90.00°
Space group Pm (No. 6)
Symmetry-distinct sites (fractional):
Hg (0.0000, 0.0000, 0.0000)
Hg (0.3456, 0.5000, 0.6957)
Mo (0.6107, 0.5000, 0.2226)
Cl (0.7192, 0.0000, 0.4410)

Calculated values
* energy relative to the elements, uncorrected: 1.604 eV per formula unit
* energy relative to the lowest polymorph listed for this composition: 232.8 meV/atom
* D(E_F): 0.716 states/eV/atom
* crystal system: monoclinic
* volume: 20.08 Å³/atom



2.
Below is a relaxed structure of RbPr3Te4O12, with properties calculated at the PBE level.

Cell: 12.9751 12.9751 8.5459 Å, 90.00 90.00 120.00°
Space group R32 (No. 155, hexagonal axes)
Symmetry-distinct sites (fractional):
Rb (0.0000, 0.0000, 0.0000)
Pr (0.0000, 0.5556, 0.0000)
Te (0.0000, 0.0000, 0.5000)
Te (0.0000, 0.4476, 0.5000)
O (0.0000, 0.6119, 0.5000)
O (0.0000, 0.8415, 0.5000)
O (0.0460, 0.2403, 0.1717)

Calculated values
* energy relative to the elements, uncorrected: -33.339 eV per formula unit
* D(E_F): 0.240 states/eV/atom
* crystal system: trigonal
* volume: 20.77 Å³/atom



3.
Below is a relaxed structure of Na3Sr3TcO8, with properties calculated at the PBE level.

Cell: 7.0754 7.0754 16.7468 Å, 90.00 90.00 120.00°
Space group R-3m (No. 166, hexagonal axes)
Symmetry-distinct sites (fractional):
Na (0.0000, 0.5000, 0.0000)
Sr (0.0000, 0.5000, 0.5000)
Tc (0.0000, 0.0000, 0.5000)
O (0.0000, 0.0000, 0.2450)
O (0.0745, 0.5373, 0.2322)

Calculated values
* energy relative to the elements, uncorrected: -29.908 eV per formula unit
* crystal system: trigonal
* volume: 16.13 Å³/atom



> What is the formula in the second record?

RbPr3Te4O12